A plane-wave DFT calculation with GGA+U was carried out for crystalline KCrCl2F at its relaxed geometry.

a b c (Å): 5.237 5.237 4.026
angles (deg): 90.00 90.00 90.00
Element x y z (fractional)
F  0.000  0.000  0.500
Cl  0.500  0.000  0.000
Cl  0.000  0.500  0.000
Cr  0.000  0.000  0.000
K  0.500  0.500  0.500

Calculated values
SG = No. 123
DFT total energy = -4.753 eV/atom
ρ = 2.7 g cm⁻³